DFT (GGA-PBEsol) results for an optimized crystal structure of Na3B20.

POSCAR file:
```
Na3B20
1.0
2.839 -9.317 0.000
2.839 9.317 0.000
0.000 0.000 4.123
Na B
3 20
Direct
0.000 0.000 0.000 Na
0.364 0.636 0.000 Na
0.636 0.364 0.000 Na
0.027 0.432 0.500 B
0.034 0.265 0.500 B
0.174 0.826 0.208 B
0.174 0.826 0.792 B
0.256 0.744 0.500 B
0.265 0.034 0.500 B
0.297 0.391 0.500 B
0.391 0.297 0.500 B
0.432 0.027 0.500 B
0.500 0.500 0.201 B
0.500 0.500 0.799 B
0.568 0.973 0.500 B
0.609 0.703 0.500 B
0.703 0.609 0.500 B
0.735 0.966 0.500 B
0.744 0.256 0.500 B
0.826 0.174 0.208 B
0.826 0.174 0.792 B
0.966 0.735 0.500 B
0.973 0.568 0.500 B
```

Values from the calculation:
- ρ (g/cm³) = 2.2
- final energy (eV/cell) = -145.62
- symmetry = No. 65